First-principles (PBE-GGA) data for a relaxed LaTb2DyTm5 crystal, as listed in Alexandria via LeMat-Bulk.

Properties
Formation enthalpy at 0 K: 0.2778 eV per atom
DOS at the Fermi energy: 42.594 states/eV/cell
Total magnetization: 0.00 μB per atom

a b c (Å): 8.8267 8.8267 14.8218
angles (deg): 90.00 90.00 90.00
With the nearest neighbours (Å) after each atom.
Space group I4/mcm (No. 140)
Asymmetric unit:
La 0.0000 0.0000 0.2500 (multiplicity 4)  10 Tm 3.62-3.71
Tb 0.1139 0.3861 0.0000 (multiplicity 8)  1 Tb 2.84, 2 Tm 2.98
Dy 0.0000 0.5000 0.2500 (multiplicity 4)  4 Tm 3.11
Tm 0.0000 0.0000 0.0000 (multiplicity 4)  4 Tb 3.55, 2 La 3.71, 8 Tm 3.72
Tm 0.2059 0.2941 0.3680 (multiplicity 16)  1 Tb 2.98, 1 Dy 3.11